{
  "formula": "MnBeSb2",
  "functional": "PBE",
  "state": "optimized geometry",
  "formation_energy_uncorrected_ev_per_atom": 0.2848,
  "n_ef_per_ev_cell": 1.36,
  "magmom_total_mub_per_fu": 3.5,
  "lattice": [[-2.156, -1.173, 2.791], [1.527, -1.419, 3.077], [-0.017, 5.161, 4.643]],
  "species": ["Sb", "Sb", "Mn", "Be"],
  "frac_coords": [[0.006, 0.006, 0.982], [0.494, 0.494, 0.518], [0.250, 0.250, 0.250], [0.750, 0.750, 0.750]]
}